Computed, not measured: a geometry-optimized PaTl2Br8 structure at the PBE level of DFT.

Computed properties:
Energy relative to the lowest polymorph listed for this composition   0.00 kcal/mol of atoms
D(E_F)   7.45 states/eV/f.u.
Symmetry   C2/m, No. 12

```
PaTl2Br8
1.0
-5.115 4.305 4.430
-6.987 -2.929 -4.419
-5.282 -6.865 1.373
Tl Br Pa
2 8 1
direct
0.532 0.848 0.848
0.468 0.152 0.152
0.592 0.317 0.317
0.408 0.683 0.683
0.937 0.833 0.833
0.063 0.167 0.167
0.244 0.226 0.714
0.244 0.714 0.226
0.756 0.286 0.774
0.756 0.774 0.286
0.000 0.000 0.000
```

---

Computed, not measured: a geometry-optimized Y2W structure at the PBE level of DFT.

Computed properties:
Energy relative to the lowest polymorph listed for this composition   14.87 kcal/mol of atoms
D(E_F)   5.91 states/eV/f.u.
Formation energy   891 meV/atom
Symmetry   Fm-3m, No. 225

```
Y2W
1.0
-1.440 6.763 -0.194
-3.223 -0.860 -6.060
-5.949 -1.172 3.330
W Y
4 8
direct
0.000 0.000 0.000
0.500 0.000 0.500
0.500 0.500 0.000
0.000 0.500 0.500
0.250 0.250 0.250
0.250 0.750 0.750
0.750 0.750 0.750
0.250 0.750 0.250
0.250 0.250 0.750
0.750 0.750 0.250
0.750 0.250 0.750
0.750 0.250 0.250
```

---

Computed, not measured: a geometry-optimized PrNdThSc structure at the PBE level of DFT.

Computed properties:
Energy relative to the lowest polymorph listed for this composition   1.46 kcal/mol of atoms
D(E_F)   8.00 states/eV/f.u.
Formation energy   160 meV/atom
Symmetry   F-43m, No. 216

```
PrNdThSc
1.0
-4.701 2.795 1.406
-4.893 -2.775 0.498
-2.314 -0.752 5.096
Pr Sc Th Nd
1 1 1 1
direct
0.250 0.250 0.250
0.000 0.000 0.000
0.750 0.750 0.750
0.500 0.500 0.500
```

---

Computed, not measured: a geometry-optimized Rb4U3CuTe8 structure at the PBE level of DFT.

Computed properties:
D(E_F)   13.76 states/eV/f.u.
Final energy   -78.66 eV per formula unit
Symmetry   C2/m, No. 12

```
Rb4U3CuTe8
1.0
8.996 0.000 0.000
0.000 9.965 0.633
-4.498 -4.509 6.399
Te U Cu Rb
8 3 1 4
direct
0.261 0.310 0.036
0.229 0.693 0.458
0.739 0.690 0.964
0.734 0.703 0.468
0.771 0.307 0.542
0.775 0.310 0.036
0.225 0.690 0.964
0.266 0.297 0.532
0.500 0.500 0.500
0.000 0.500 0.500
0.500 0.500 0.000
0.000 0.500 0.000
0.000 0.000 0.000
0.500 0.000 0.500
0.000 0.000 0.500
0.500 0.000 0.000
```

---

Computed, not measured: a geometry-optimized Cs3PmI6 structure at the PBE level of DFT.

Computed properties:
D(E_F)   0.00 states/eV/f.u.
Final energy   -31.84 eV per formula unit
Symmetry   P2_1/c, No. 14

```
Cs3PmI6
1.0
9.078 0.000 0.103
0.000 9.705 0.000
0.256 0.000 12.894
I Cs Pm
12 6 2
direct
0.373 0.552 0.724
0.627 0.448 0.276
0.777 0.674 0.551
0.127 0.052 0.776
0.723 0.174 0.949
0.223 0.326 0.449
0.839 0.733 0.926
0.339 0.767 0.426
0.161 0.267 0.074
0.661 0.233 0.574
0.277 0.826 0.051
0.873 0.948 0.224
0.500 0.500 0.000
0.468 0.078 0.242
0.532 0.922 0.758
0.000 0.000 0.500
0.032 0.578 0.258
0.968 0.422 0.742
0.500 0.500 0.500
0.000 0.000 0.000
```

---

Computed, not measured: a geometry-optimized Y2TlCoPb structure at the PBE level of DFT.

Computed properties:
Energy relative to the lowest polymorph listed for this composition   0.00 kcal/mol of atoms
D(E_F)   3.32 states/eV/f.u.
Formation energy   -187 meV/atom
Symmetry   P4/mmm, No. 123

```
Y2TlCoPb
1.0
5.156 0.000 0.000
0.000 5.156 0.000
0.000 0.000 4.966
Co Tl Y Pb
1 1 2 1
direct
0.000 0.000 0.000
0.000 0.000 0.500
0.000 0.500 0.000
0.500 0.000 0.000
0.500 0.500 0.500
```

---

Computed, not measured: a geometry-optimized MoIr2Se structure at the PBE level of DFT.

Computed properties:
D(E_F)   4.10 states/eV/f.u.
Final energy   -30.71 eV per formula unit
Symmetry   Cmmm, No. 65

```
MoIr2Se
1.0
4.803 -0.004 0.000
-1.606 4.527 0.000
0.000 0.000 2.856
Se Ir Mo
1 2 1
direct
0.000 0.500 0.500
0.000 0.000 0.000
0.500 0.500 0.000
0.500 0.000 0.500
```

---

Computed, not measured: a geometry-optimized RbSrTcI2 structure at the PBE level of DFT.

Computed properties:
D(E_F)   4.60 states/eV/f.u.
Final energy   -14.41 eV per formula unit
Symmetry   P4/mmm, No. 123

```
RbSrTcI2
1.0
-1.825 -4.741 2.555
4.323 0.560 4.127
-3.498 3.094 3.244
I Rb Tc Sr
2 1 1 1
direct
0.500 0.000 0.000
0.000 0.000 0.500
0.000 0.500 0.000
0.000 0.000 0.000
0.500 0.500 0.500
```